# Np4ScS7

A relaxed Np4ScS7 crystal (GGA-PBE, Alexandria).

Cell and atoms, written as POSCAR:
```
Np4ScS7
1.0
-2.535 -2.522 -1.271
4.666 -3.512 3.326
-7.239 3.306 7.883
S Sc Np
7 1 4
Direct
0.728 0.457 0.357
0.042 0.083 0.764
0.966 0.932 0.215
0.665 0.329 0.055
0.349 0.699 0.953
0.469 0.938 0.479
0.272 0.545 0.653
0.875 0.750 0.570
0.108 0.215 0.437
0.313 0.625 0.210
0.706 0.412 0.815
0.007 0.014 0.992
```

Calculated values
The formation energy without anion corrections comes out at -1.438 eV/atom. As for the total energy: -8.69 eV/atom. Its space group is No. 8. The density of states at the Fermi level comes out at 36.05 states/eV per cell.